--- A ---
Tm5Te3Ir (PBE, optimized geometry); total magnetization = 0.02 μB per formula unit; mass density = 9.96 g/cm³; space group = P-62m
1.0
8.138 0.000 0.000
-4.069 7.048 0.000
0.000 0.000 4.127
Ir Te Tm
1 3 5
direct
0.000 0.000 0.000
0.267 0.000 0.500
0.000 0.267 0.500
0.733 0.733 0.500
0.665 0.000 0.000
0.335 0.335 0.000
0.000 0.665 0.000
0.667 0.333 0.500
0.333 0.667 0.500



--- B ---
Tm5Te3Ir (PBE, optimized geometry); total magnetization = 0.10 μB per formula unit; mass density = 9.75 g/cm³; space group = P-62m
1.0
-5.211 -3.158 6.067
8.187 1.828 1.890
-1.006 3.509 0.963
Ir Te Tm
1 3 5
direct
0.000 0.000 0.000
0.562 0.000 0.000
0.438 0.438 0.000
0.000 0.562 0.000
0.230 0.000 0.500
0.000 0.230 0.500
0.667 0.333 0.500
0.333 0.667 0.500
0.770 0.770 0.500



Relative energies, in meV per atom, with the most stable structure set to zero: A 212; B 0.



--- A ---
Tm3Te5Ir (PBE, optimized geometry); total magnetization = 0.05 μB per formula unit; mass density = 8.68 g/cm³; space group = P-62m
1.0
8.444 0.000 0.000
-4.222 7.313 0.000
0.000 0.000 4.142
Ir Te Tm
1 5 3
direct
0.000 0.000 0.000
0.688 0.000 0.000
0.312 0.312 0.000
0.000 0.688 0.000
0.667 0.333 0.500
0.333 0.667 0.500
0.261 0.000 0.500
0.000 0.261 0.500
0.739 0.739 0.500



--- B ---
Tm3Te5Ir (PBE, optimized geometry); total magnetization = 0.01 μB per formula unit; mass density = 9.27 g/cm³; space group = P-62m
1.0
8.567 0.000 0.000
-4.283 7.419 0.000
0.000 0.000 3.770
Ir Te Tm
1 5 3
direct
0.000 0.000 0.000
0.234 0.000 0.500
0.000 0.234 0.500
0.667 0.333 0.500
0.333 0.667 0.500
0.766 0.766 0.500
0.647 0.000 0.000
0.353 0.353 0.000
0.000 0.647 0.000



Relative energies, in meV per atom, with the most stable structure set to zero: A 0; B 106.